(1)
Crystalline Dy2HoSe3 at its relaxed geometry, computed with PBE.

Unit cell a=4.043 b=4.043 c=10.007 alpha=90.00 beta=90.00 gamma=120.00
Atoms (fractional coordinates):
Dy1 0.333 0.667 0.166
Dy2 0.667 0.333 0.834
Ho1 0.000 0.000 0.500
Se1 0.000 0.000 0.000
Se2 0.333 0.667 0.665
Se3 0.667 0.333 0.335

Values from the calculation:
total DFT energy (no corrections)	-34.67	eV per cell

(2)
Crystalline DyHo2Se3 at its relaxed geometry, computed with PBE.

Unit cell a=4.046 b=4.046 c=9.945 alpha=90.00 beta=90.00 gamma=120.00
Atoms (fractional coordinates):
Dy1 0.000 0.000 0.000
Ho1 0.333 0.667 0.666
Ho2 0.667 0.333 0.334
Se1 0.000 0.000 0.500
Se2 0.333 0.667 0.168
Se3 0.667 0.333 0.832

Values from the calculation:
total DFT energy (no corrections)	-34.59	eV per cell

(3)
Crystalline Dy6HoSe8 at its relaxed geometry, computed with PBE.

Unit cell a=8.100 b=8.100 c=8.100 alpha=60.00 beta=60.00 gamma=60.00
Atoms (fractional coordinates):
Dy1 0.000 0.000 0.500
Dy2 0.000 0.500 0.000
Dy3 0.000 0.500 0.500
Dy4 0.500 0.000 0.000
Dy5 0.500 0.000 0.500
Dy6 0.500 0.500 0.000
Ho1 0.000 0.000 0.000
Se1 0.250 0.250 0.250
Se2 0.253 0.253 0.747
Se3 0.253 0.747 0.253
Se4 0.253 0.747 0.747
Se5 0.747 0.253 0.253
Se6 0.747 0.253 0.747
Se7 0.747 0.747 0.253
Se8 0.750 0.750 0.750

Values from the calculation:
total DFT energy (no corrections)	-87.56	eV per cell

(4)
Crystalline DyHoSe6 at its relaxed geometry, computed with PBE.

Unit cell a=3.906 b=12.962 c=12.962 alpha=17.33 beta=90.00 gamma=90.00
Atoms (fractional coordinates):
Dy1 0.000 0.000 0.000
Ho1 0.500 0.651 0.651
Se1 0.000 0.118 0.118
Se2 0.000 0.408 0.408
Se3 0.000 0.744 0.744
Se4 0.500 0.244 0.244
Se5 0.500 0.534 0.534
Se6 0.500 0.908 0.908

Values from the calculation:
total DFT energy (no corrections)	-39.62	eV per cell

(5)
Crystalline DyHo4Se5 at its relaxed geometry, computed with PBE.

Unit cell a=14.637 b=14.637 c=14.637 alpha=164.12 beta=164.12 gamma=22.53
Atoms (fractional coordinates):
Dy1 0.000 0.000 0.000
Ho1 0.203 0.203 0.000
Ho2 0.402 0.402 0.000
Ho3 0.598 0.598 0.000
Ho4 0.797 0.797 0.000
Se1 0.101 0.101 0.000
Se2 0.302 0.302 0.000
Se3 0.500 0.500 0.000
Se4 0.698 0.698 0.000
Se5 0.899 0.899 0.000

Values from the calculation:
total DFT energy (no corrections)	-57.58	eV per cell

(6)
Crystalline DyHoTa2Si2 at its relaxed geometry, computed with PBE.

Unit cell a=3.998 b=3.998 c=7.741 alpha=90.00 beta=90.00 gamma=90.00
Atoms (fractional coordinates):
Dy1 0.000 0.000 0.000
Ho1 0.500 0.500 0.294
Ta1 0.000 0.500 0.646
Ta2 0.500 0.000 0.646
Si1 0.000 0.000 0.406
Si2 0.500 0.500 0.886

Values from the calculation:
total DFT energy (no corrections)	-47.35	eV per cell

(7)
Crystalline SmDyHo at its relaxed geometry, computed with PBE.

Unit cell a=5.424 b=5.424 c=5.424 alpha=60.00 beta=60.00 gamma=60.00
Atoms (fractional coordinates):
Sm1 0.000 0.000 0.000
Dy1 0.500 0.500 0.500
Ho1 0.250 0.250 0.250

Values from the calculation:
total DFT energy (no corrections)	-11.74	eV per cell
DFT formation energy	715.3	meV/atom
ΔE to the lowest computed polymorph	0	meV/atom

(8)
Crystalline DyHoSn4 at its relaxed geometry, computed with PBE.

Unit cell a=4.342 b=8.457 c=8.457 alpha=30.32 beta=90.00 gamma=90.00
Atoms (fractional coordinates):
Dy1 0.000 0.000 0.000
Ho1 0.500 0.803 0.803
Sn1 0.000 0.337 0.337
Sn2 0.000 0.650 0.650
Sn3 0.500 0.154 0.154
Sn4 0.500 0.465 0.465

Values from the calculation:
total DFT energy (no corrections)	-28.70	eV per cell

(9)
Crystalline DyHoZn2Sn2 at its relaxed geometry, computed with PBE.

Unit cell a=4.500 b=4.500 c=15.751 alpha=90.00 beta=90.00 gamma=120.00
Atoms (fractional coordinates):
Dy1 0.000 0.000 0.000
Dy2 0.000 0.000 0.500
Ho1 0.000 0.000 0.250
Ho2 0.000 0.000 0.750
Zn1 0.333 0.667 0.161
Zn2 0.333 0.667 0.339
Zn3 0.667 0.333 0.661
Zn4 0.667 0.333 0.839
Sn1 0.333 0.667 0.613
Sn2 0.333 0.667 0.887
Sn3 0.667 0.333 0.113
Sn4 0.667 0.333 0.387

Values from the calculation:
total DFT energy (no corrections)	-46.38	eV per cell
ΔE to the lowest computed polymorph	0	meV/atom

(10)
Crystalline DyHoZn2Sn2 at its relaxed geometry, computed with PBE.

Unit cell a=4.499 b=4.499 c=15.756 alpha=90.00 beta=90.00 gamma=120.00
Atoms (fractional coordinates):
Dy1 0.000 0.000 0.250
Dy2 0.000 0.000 0.750
Ho1 0.000 0.000 0.000
Ho2 0.000 0.000 0.500
Zn1 0.333 0.667 0.161
Zn2 0.333 0.667 0.339
Zn3 0.667 0.333 0.661
Zn4 0.667 0.333 0.839
Sn1 0.333 0.667 0.613
Sn2 0.333 0.667 0.887
Sn3 0.667 0.333 0.113
Sn4 0.667 0.333 0.387

Values from the calculation:
total DFT energy (no corrections)	-46.35	eV per cell
ΔE to the lowest computed polymorph	2	meV/atom

(11)
Crystalline DyHoZn2Sn2 at its relaxed geometry, computed with PBE.

Unit cell a=8.099 b=8.099 c=8.099 alpha=149.19 beta=149.19 gamma=44.13
Atoms (fractional coordinates):
Dy1 0.000 0.000 0.000
Ho1 0.685 0.685 0.000
Zn1 0.342 0.842 0.500
Zn2 0.842 0.342 0.500
Sn1 0.208 0.208 0.000
Sn2 0.476 0.476 0.000

Values from the calculation:
total DFT energy (no corrections)	-22.72	eV per cell
ΔE to the lowest computed polymorph	78	meV/atom

(12)
Crystalline Tb3Dy2Ho at its relaxed geometry, computed with PBE.

Unit cell a=6.152 b=6.152 c=11.448 alpha=90.00 beta=90.00 gamma=59.99
Atoms (fractional coordinates):
Tb1 0.000 0.000 0.000
Tb2 0.000 0.000 0.500
Tb3 0.334 0.334 0.000
Tb4 0.334 0.334 0.500
Tb5 0.666 0.666 0.000
Tb6 0.666 0.666 0.500
Dy1 0.000 0.333 0.250
Dy2 0.000 0.667 0.750
Dy3 0.333 0.000 0.750
Dy4 0.667 0.000 0.250
Ho1 0.333 0.667 0.250
Ho2 0.667 0.333 0.750

Values from the calculation:
total DFT energy (no corrections)	-55.33	eV per cell
DFT formation energy	0.4	meV/atom

(13)
Crystalline DyHoTc at its relaxed geometry, computed with PBE.

Unit cell a=4.751 b=4.751 c=4.751 alpha=60.00 beta=60.00 gamma=60.00
Atoms (fractional coordinates):
Dy1 0.000 0.000 0.000
Ho1 0.750 0.750 0.750
Tc1 0.250 0.250 0.250

Values from the calculation:
total DFT energy (no corrections)	-16.70	eV per cell
DFT formation energy	947.5	meV/atom

(14)
Crystalline DyHo2Tc at its relaxed geometry, computed with PBE.

Unit cell a=6.241 b=6.241 c=9.122 alpha=90.00 beta=90.00 gamma=143.72
Atoms (fractional coordinates):
Dy1 0.072 0.928 0.750
Dy2 0.928 0.072 0.250
Ho1 0.356 0.644 0.566
Ho2 0.356 0.644 0.934
Ho3 0.644 0.356 0.066
Ho4 0.644 0.356 0.434
Tc1 0.261 0.739 0.250
Tc2 0.739 0.261 0.750

Values from the calculation:
total DFT energy (no corrections)	-49.15	eV per cell
DFT formation energy	-114.9	meV/atom

(15)
Crystalline Dy2HoTc at its relaxed geometry, computed with PBE.

Unit cell a=6.244 b=6.244 c=9.146 alpha=90.00 beta=90.00 gamma=143.71
Atoms (fractional coordinates):
Dy1 0.144 0.856 0.566
Dy2 0.144 0.856 0.934
Dy3 0.856 0.144 0.066
Dy4 0.856 0.144 0.434
Ho1 0.427 0.573 0.750
Ho2 0.573 0.427 0.250
Tc1 0.239 0.761 0.250
Tc2 0.761 0.239 0.750

Values from the calculation:
total DFT energy (no corrections)	-49.15	eV per cell
DFT formation energy	-108.6	meV/atom

(16)
Crystalline DyHo2Te3 at its relaxed geometry, computed with PBE.

Unit cell a=4.333 b=4.333 c=10.625 alpha=90.00 beta=90.00 gamma=120.00
Atoms (fractional coordinates):
Dy1 0.000 0.000 0.000
Ho1 0.333 0.667 0.666
Ho2 0.667 0.333 0.334
Te1 0.000 0.000 0.500
Te2 0.333 0.667 0.168
Te3 0.667 0.333 0.832

Values from the calculation:
total DFT energy (no corrections)	-30.71	eV per cell

(17)
Crystalline Dy2HoTe3 at its relaxed geometry, computed with PBE.

Unit cell a=4.334 b=4.334 c=10.669 alpha=90.00 beta=90.00 gamma=120.00
Atoms (fractional coordinates):
Dy1 0.333 0.667 0.167
Dy2 0.667 0.333 0.833
Ho1 0.000 0.000 0.500
Te1 0.000 0.000 0.000
Te2 0.333 0.667 0.666
Te3 0.667 0.333 0.334

Values from the calculation:
total DFT energy (no corrections)	-30.81	eV per cell

(18)
Crystalline DyHoTe at its relaxed geometry, computed with PBE.

Unit cell a=5.037 b=5.037 c=5.037 alpha=60.00 beta=60.00 gamma=60.00
Atoms (fractional coordinates):
Dy1 0.000 0.000 0.000
Ho1 0.500 0.500 0.500
Te1 0.250 0.250 0.250

Values from the calculation:
total DFT energy (no corrections)	-13.69	eV per cell
ΔE to the lowest computed polymorph	0	meV/atom

(19)
Crystalline DyHoTh at its relaxed geometry, computed with PBE.

Unit cell a=5.406 b=5.406 c=5.406 alpha=60.00 beta=60.00 gamma=60.00
Atoms (fractional coordinates):
Dy1 0.000 0.000 0.000
Ho1 0.250 0.250 0.250
Th1 0.500 0.500 0.500

Values from the calculation:
total DFT energy (no corrections)	-14.18	eV per cell
DFT formation energy	804.6	meV/atom
ΔE to the lowest computed polymorph	0	meV/atom

(20)
Crystalline DyHoTl4 at its relaxed geometry, computed with PBE.

Unit cell a=4.667 b=7.654 c=7.654 alpha=35.65 beta=90.00 gamma=90.00
Atoms (fractional coordinates):
Dy1 0.000 0.000 0.000
Ho1 0.000 0.310 0.310
Tl1 0.000 0.655 0.655
Tl2 0.500 0.155 0.155
Tl3 0.500 0.479 0.479
Tl4 0.500 0.832 0.832

Values from the calculation:
total DFT energy (no corrections)	-20.19	eV per cell